A plane-wave DFT calculation with PBE was carried out for a geometry-optimized Ca2ThSb3Rh4 structure.

abc: 4.5325 4.5325 11.2054
angles: 90.00 90.00 90.00
Fractional positions:
Ca1 0.5000 0.0000 0.2169
Ca2 0.0000 0.5000 0.7831
Th1 0.5000 0.5000 0.5000
Sb1 0.0000 0.0000 0.5000
Sb2 0.5000 0.0000 0.8736
Sb3 0.0000 0.5000 0.1264
Rh1 0.5000 0.5000 0.0000
Rh2 0.0000 0.0000 0.0000
Rh3 0.5000 0.0000 0.6431
Rh4 0.0000 0.5000 0.3569

Total energy in Ry/atom: -0.446
DOS at the Fermi energy in states/eV per cell: 7.8
Raw formation energy in eV per atom: -0.754

=====

A plane-wave DFT calculation with PBE was carried out for a geometry-optimized Ca2TmSb3Rh4 structure.

abc: 4.3609 4.3609 11.4771
angles: 90.00 90.00 90.00
Fractional positions:
Ca1 0.5000 0.0000 0.2351
Ca2 0.0000 0.5000 0.7649
Tm1 0.5000 0.5000 0.5000
Sb1 0.0000 0.0000 0.5000
Sb2 0.5000 0.0000 0.8691
Sb3 0.0000 0.5000 0.1309
Rh1 0.5000 0.5000 0.0000
Rh2 0.0000 0.0000 0.0000
Rh3 0.5000 0.0000 0.6449
Rh4 0.0000 0.5000 0.3551

Total energy in Ry/atom: -0.427
DOS at the Fermi energy in states/eV per cell: 6.5
Raw formation energy in eV per atom: -0.787